(1)
LaMgTaAg2 | PBE-GGA | relaxed

The formation energy comes out at 1.9046 eV/atom. The value obtained for the total magnetic moment is 0.000 μB/atom.

Cell and atoms, written as POSCAR:
```
LaMgTaAg2
1.0
5.2046 0.0000 0.0000
0.0000 5.2046 0.0000
0.0000 0.0000 5.4487
La Mg Ta Ag
1 1 1 2
Direct
0.0000 0.0000 0.0000
0.0000 0.0000 0.5000
0.5000 0.5000 0.5000
0.0000 0.5000 0.0000
0.5000 0.0000 0.0000
```



(2)
LaTbMgAg | PBE-GGA | relaxed

The formation energy comes out at -0.1346 eV/atom. The value obtained for the total magnetic moment is 0.000 μB/atom. Its relative energy among the computed polymorphs is 0.205 eV per formula unit.

Cell and atoms, written as POSCAR:
```
LaTbMgAg
1.0
0.0000 3.8154 3.8154
3.8154 0.0000 3.8154
3.8154 3.8154 0.0000
La Tb Mg Ag
1 1 1 1
Direct
0.0000 0.0000 0.0000
0.5000 0.5000 0.5000
0.2500 0.2500 0.2500
0.7500 0.7500 0.7500
```



(3)
LaTbMgAg | PBE-GGA | relaxed

The formation energy comes out at -0.1858 eV/atom. The value obtained for the total magnetic moment is 0.001 μB/atom. Its relative energy among the computed polymorphs is 0.000 eV per formula unit.

Cell and atoms, written as POSCAR:
```
LaTbMgAg
1.0
3.8204 0.0000 0.0000
0.0000 3.8204 0.0000
0.0000 0.0000 7.5372
La Tb Mg Ag
1 1 1 1
Direct
0.0000 0.0000 0.0000
0.0000 0.0000 0.4818
0.5000 0.5000 0.7267
0.5000 0.5000 0.2688
```



(4)
LaTb2MgAg4 | PBE-GGA | relaxed

The formation energy comes out at -0.2544 eV/atom. The value obtained for the total magnetic moment is 0.000 μB/atom.

Cell and atoms, written as POSCAR:
```
LaTb2MgAg4
1.0
2.5561 1.4757 8.5141
-2.5561 1.4757 8.5141
0.0000 -2.9515 8.5141
La Tb Mg Ag
1 2 1 4
Direct
0.0000 0.0000 0.0000
0.2434 0.2434 0.2434
0.7566 0.7566 0.7566
0.5000 0.5000 0.5000
0.1249 0.1249 0.1249
0.3867 0.3867 0.3867
0.6133 0.6133 0.6133
0.8751 0.8751 0.8751
```



- The highest total magnetic moment belongs to which entry?
  number 3



- What is the total magnetic moment in the third record?
  0.001 μB/atom